(1)
Density functional theory data (SCAN) for a PBEsol-optimized structure of ZrNiAg3.

Results
The total energy is -27.43 eV per atom. The formation energy from the elements is 0.77 eV/atom.

a b c (Å): 4.612 4.612 4.612
angles (deg): 90.00 90.00 90.00
Last column: magnetic moment on the atom in μB.
Fractional positions:
Ni (0.000, 0.000, 0.000)  0.46
Zr (0.500, 0.500, 0.500)  0.82
Ag (0.000, 0.500, 0.000)  0.03
Ag (0.000, 0.000, 0.500)  0.03
Ag (0.500, 0.000, 0.000)  0.03

***

(2)
Density functional theory data (SCAN) for a PBEsol-optimized structure of Zr2Ni2Ag.

Results
The total energy is -25.44 eV per atom. The formation energy from the elements is -0.42 eV/atom. The calculation puts the energy above the most stable polymorph in this dataset at 0.000 kcal/mol of atoms.

a b c (Å): 3.258 7.020 7.020
angles (deg): 90.00 90.00 90.00
Fractional positions:
Ni (0.000, 0.375, 0.875)
Ni (0.000, 0.875, 0.625)
Ni (0.000, 0.625, 0.125)
Ni (0.000, 0.125, 0.375)
Zr (0.500, 0.171, 0.671)
Zr (0.500, 0.671, 0.829)
Zr (0.500, 0.829, 0.329)
Zr (0.500, 0.329, 0.171)
Ag (0.000, 0.000, 0.000)
Ag (0.000, 0.500, 0.500)